A relaxed structure of CaGaSiH2. Source: Alexandria, functional PBE.

Cell and atoms, written as CIF:
```
data_CaGaSiH2
_space_group_name_H-M_alt 'P 1'
_space_group_IT_number 1
_cell_length_a 4.0603
_cell_length_b 4.8236
_cell_length_c 4.0603
_cell_angle_alpha 90.00
_cell_angle_beta 90.00
_cell_angle_gamma 90.00
loop_
_space_group_symop_operation_xyz
'x,y,z'
loop_
_atom_site_label
_atom_site_fract_x
_atom_site_fract_y
_atom_site_fract_z
Si1 0.0000 0.0000 0.0000
Ga1 0.0000 0.5000 0.0000
H1 0.5000 0.0000 0.0000
Ca1 0.5000 0.5000 0.5000
H2 0.0000 0.0000 0.5000
```

Computed properties:
space-group type: No. 123
magnetic moment: 0.0 μB per formula unit
calculated total energy: -3.15 eV/atom

---

A relaxed structure of Na2HgN. Source: Alexandria, functional PBE.

Cell and atoms, written as CIF:
```
data_Na2HgN
_space_group_name_H-M_alt 'P 1'
_space_group_IT_number 1
_cell_length_a 9.5946
_cell_length_b 9.5946
_cell_length_c 7.1736
_cell_angle_alpha 48.03
_cell_angle_beta 48.03
_cell_angle_gamma 90.00
loop_
_space_group_symop_operation_xyz
'x,y,z'
loop_
_atom_site_label
_atom_site_fract_x
_atom_site_fract_y
_atom_site_fract_z
Hg1 0.0000 0.0000 0.0000
Hg2 0.7500 0.2500 0.5000
Na1 0.3750 0.6190 0.7500
N1 0.2500 0.7500 0.5000
Na2 0.8750 0.6310 0.7500
Na3 0.3810 0.1250 0.2500
N2 0.5000 0.5000 0.0000
Na4 0.3690 0.6250 0.2500
```

Computed properties:
polymorph energy (0 for the lowest one): 0.000 eV per atom
space-group type: No. 122
magnetic moment: 0.0 μB per formula unit

---

A relaxed structure of Na10B13C7. Source: Alexandria, functional PBE.

Cell and atoms, written as CIF:
```
data_Na10B13C7
_space_group_name_H-M_alt 'P 1'
_space_group_IT_number 1
_cell_length_a 7.5890
_cell_length_b 7.5890
_cell_length_c 8.5222
_cell_angle_alpha 90.00
_cell_angle_beta 90.00
_cell_angle_gamma 141.40
loop_
_space_group_symop_operation_xyz
'x,y,z'
loop_
_atom_site_label
_atom_site_fract_x
_atom_site_fract_y
_atom_site_fract_z
B1 0.2609 0.0613 0.2500
Na1 0.6005 0.4005 0.9973
C1 0.9318 0.7342 0.7500
B2 0.4699 0.8587 0.7500
C2 0.1342 0.5318 0.7500
Na2 0.6005 0.4005 0.5027
C3 0.6652 0.6654 0.2500
C4 0.8642 0.4642 0.2500
B3 0.1217 0.5203 0.2500
B4 0.8846 0.4846 0.7500
C5 0.3258 0.3314 0.7500
C6 0.0654 0.2652 0.2500
Na3 0.8005 0.2005 0.5027
B5 0.5560 0.1560 0.2500
B6 0.0665 0.2669 0.7500
Na4 0.9994 0.9996 0.5007
Na5 0.1985 0.7985 0.5014
B7 0.2587 0.0699 0.7500
Na6 0.3996 0.5994 0.5007
B8 0.4613 0.8609 0.2500
Na7 0.3996 0.5994 0.9993
B9 0.9203 0.7217 0.2500
B10 0.5317 0.1317 0.7500
B11 0.6669 0.6665 0.7500
C7 0.7314 0.9258 0.7500
Na8 0.9994 0.9996 0.9993
B12 0.7476 0.9390 0.2500
B13 0.3390 0.3476 0.2500
Na9 0.1985 0.7985 0.9986
Na10 0.8005 0.2005 0.9973
```

Computed properties:
polymorph energy (0 for the lowest one): 0.036 eV per atom
space-group type: No. 38
magnetic moment: 0.0 μB per formula unit
calculated formation energy: 0.121 eV/atom

---

A relaxed structure of Zr2Co12Si7. Source: Alexandria, functional PBE.

Cell and atoms, written as CIF:
```
data_Zr2Co12Si7
_space_group_name_H-M_alt 'P 1'
_space_group_IT_number 1
_cell_length_a 3.5893
_cell_length_b 9.0488
_cell_length_c 9.0488
_cell_angle_alpha 120.00
_cell_angle_beta 90.00
_cell_angle_gamma 90.00
loop_
_space_group_symop_operation_xyz
'x,y,z'
loop_
_atom_site_label
_atom_site_fract_x
_atom_site_fract_y
_atom_site_fract_z
Si1 0.5000 0.6267 0.5546
Co1 0.0000 0.4850 0.9459
Co2 0.5000 0.5673 0.7738
Co3 0.0000 0.9541 0.2281
Co4 0.0000 0.2740 0.0459
Co5 0.5000 0.2066 0.4327
Si2 0.0000 0.2180 0.2642
Si3 0.5000 0.4454 0.0722
Si4 0.0000 0.7358 0.9537
Co6 0.5000 0.2262 0.7934
Co7 0.5000 0.7135 0.1012
Si5 0.0000 0.0463 0.7820
Co8 0.5000 0.8988 0.6122
Zr1 0.5000 0.0000 0.0000
Si6 0.0000 0.3333 0.6667
Zr2 0.0000 0.6667 0.3333
Co9 0.0000 0.4609 0.5150
Si7 0.5000 0.9278 0.3733
Co10 0.0000 0.7719 0.7260
Co11 0.5000 0.3878 0.2865
Co12 0.0000 0.0541 0.5391
```

Computed properties:
space-group type: No. 174
magnetic moment: 0.0 μB per formula unit
calculated total energy: -7.29 eV/atom

---

A relaxed structure of K2Sn2TeSe2. Source: Alexandria, functional PBE.

Cell and atoms, written as CIF:
```
data_K2Sn2TeSe2
_space_group_name_H-M_alt 'P 1'
_space_group_IT_number 1
_cell_length_a 6.0016
_cell_length_b 7.8309
_cell_length_c 7.3371
_cell_angle_alpha 66.77
_cell_angle_beta 65.86
_cell_angle_gamma 67.47
loop_
_space_group_symop_operation_xyz
'x,y,z'
loop_
_atom_site_label
_atom_site_fract_x
_atom_site_fract_y
_atom_site_fract_z
Se1 0.7669 0.6460 0.8202
Te1 0.0000 0.0000 0.0000
Se2 0.2331 0.3540 0.1798
K1 0.4461 0.8350 0.2728
Sn1 0.2481 0.6551 0.8487
K2 0.5539 0.1650 0.7272
Sn2 0.7519 0.3449 0.1513
```

Computed properties:
space-group type: No. 12
magnetic moment: 0.0 μB per formula unit
calculated total energy: -3.53 eV/atom

---

A relaxed structure of K2SrGaAs2. Source: Alexandria, functional PBE.

Cell and atoms, written as CIF:
```
data_K2SrGaAs2
_space_group_name_H-M_alt 'P 1'
_space_group_IT_number 1
_cell_length_a 7.3026
_cell_length_b 7.1448
_cell_length_c 9.1691
_cell_angle_alpha 112.93
_cell_angle_beta 113.47
_cell_angle_gamma 90.00
loop_
_space_group_symop_operation_xyz
'x,y,z'
loop_
_atom_site_label
_atom_site_fract_x
_atom_site_fract_y
_atom_site_fract_z
Ga1 0.5000 0.7500 0.0000
K1 0.4975 0.1872 0.3743
K2 0.1232 0.3128 0.6257
Sr1 0.0000 0.2500 0.0000
As1 0.6203 0.4076 0.8151
As2 0.8051 0.0924 0.1849
K3 0.8768 0.6872 0.3743
K4 0.5025 0.8128 0.6257
Sr2 0.0000 0.7500 0.0000
As3 0.1949 0.9076 0.8151
As4 0.3797 0.5924 0.1849
Ga2 0.5000 0.2500 0.0000
```

Computed properties:
space-group type: No. 72
magnetic moment: 0.0 μB per formula unit
calculated formation energy: -0.523 eV/atom

---

A relaxed structure of In2SiBr. Source: Alexandria, functional PBE.

Cell and atoms, written as CIF:
```
data_In2SiBr
_space_group_name_H-M_alt 'P 1'
_space_group_IT_number 1
_cell_length_a 3.9769
_cell_length_b 4.5129
_cell_length_c 5.9759
_cell_angle_alpha 90.00
_cell_angle_beta 90.00
_cell_angle_gamma 90.00
loop_
_space_group_symop_operation_xyz
'x,y,z'
loop_
_atom_site_label
_atom_site_fract_x
_atom_site_fract_y
_atom_site_fract_z
Br1 0.5000 0.5000 0.8751
In1 0.0000 0.0000 0.8749
Si1 0.0000 0.0000 0.3749
In2 0.5000 0.5000 0.3751
```

Computed properties:
polymorph energy (0 for the lowest one): 0.081 eV per atom
space-group type: No. 47
magnetic moment: 0.0 μB per formula unit

---

- Look up the magnetic moment of the third one.
  0.0 μB per formula unit